a.
A plane-wave DFT calculation with PBE was carried out for crystalline TaMn3Ru at its relaxed geometry.

```
5
Lattice="-3.850 -1.851 -1.333 1.359 0.238 -4.257 1.831 -4.067 0.357" Properties=species:S:1:pos:R:3 pbc="T T T"
Mn -1.925 -0.925 -0.666
Mn 0.679 0.119 -2.128
Mn 0.916 -2.034 0.179
Ru 0.000 0.000 0.000
Ta -0.330 -2.840 -2.616
```

Space group: Pm-3m (221)
ρ (g cm⁻³): 8.3
Magnetic moment (μB/f.u.): 6.566
V (A^3/atom): 17.9
Fermi-level density of states (states/eV/atom): 1.492

=====

b.
A plane-wave DFT calculation with PBE was carried out for crystalline TaMn3Ru at its relaxed geometry.

```
5
Lattice="-2.239 -3.445 -1.487 0.508 -1.994 3.855 -3.718 1.802 1.423" Properties=species:S:1:pos:R:3 pbc="T T T"
Mn -1.859 0.901 0.711
Mn -1.120 -1.722 -0.744
Mn 0.254 -0.997 1.927
Ru -2.724 -1.818 1.895
Ta 0.000 0.000 0.000
```

Space group: Pm-3m (221)
ρ (g cm⁻³): 8.9
Magnetic moment (μB/f.u.): 0.001
V (A^3/atom): 16.7
Fermi-level density of states (states/eV/atom): 2.565

=====

Stability ranking, top entry: a; the second entry is 64.7 kJ/mol of atoms less favorable.

=====

a.
A plane-wave DFT calculation with PBE was carried out for crystalline TaMnRu3 at its relaxed geometry.

```
5
Lattice="-0.004 3.003 3.164 -3.573 1.813 -1.726 -2.503 -2.593 2.458" Properties=species:S:1:pos:R:3 pbc="T T T"
Ta -3.040 1.112 1.948
Mn 0.000 0.000 0.000
Ru -0.002 1.502 1.582
Ru -1.786 0.906 -0.863
Ru -1.251 -1.296 1.229
```

Space group: Pm-3m (221)
ρ (g cm⁻³): 10.8
Magnetic moment (μB/f.u.): 0.000
V (A^3/atom): 16.6
Fermi-level density of states (states/eV/atom): 1.591

=====

b.
A plane-wave DFT calculation with PBE was carried out for crystalline TaMnRu3 at its relaxed geometry.

```
5
Lattice="4.703 0.000 0.000 0.000 4.703 0.000 0.000 0.000 4.703" Properties=species:S:1:pos:R:3 pbc="T T T"
Ru 0.000 2.352 0.000
Ru 0.000 0.000 2.352
Ru 2.352 0.000 0.000
Mn 2.352 2.352 2.352
Ta 0.000 0.000 0.000
```

Space group: Pm-3m (221)
ρ (g cm⁻³): 8.6
Magnetic moment (μB/f.u.): 2.290
V (A^3/atom): 20.8
Fermi-level density of states (states/eV/atom): 1.425

=====

Stability ranking, top entry: a; the second entry is 40.6 kJ/mol of atoms less favorable.

=====

a.
A plane-wave DFT calculation with PBE was carried out for crystalline TbMnRu at its relaxed geometry.

```
18
Lattice="-1.707 -1.335 4.843 3.462 -0.494 3.990 -0.985 11.993 5.866" Properties=species:S:1:pos:R:3 pbc="T T T"
Mn -0.789 2.953 6.349
Mn 0.935 2.707 8.336
Mn -0.164 7.457 6.364
Mn 1.560 7.211 8.351
Mn -1.013 6.792 8.775
Mn 1.785 3.372 5.924
Tb -0.793 10.456 5.510
Tb 0.259 2.006 3.551
Tb 1.564 -0.292 9.190
Tb 0.906 4.992 10.415
Tb 0.512 8.158 11.149
Tb -0.135 5.172 4.285
Ru -0.853 -0.668 2.422
Ru 0.878 -0.915 4.417
Ru 0.386 5.082 7.350
Ru -0.125 9.178 8.299
Ru 0.896 0.986 6.400
Ru 1.731 -0.247 1.995
```

Space group: R-3m (166)
ρ (g cm⁻³): 9.9
Magnetic moment (μB/f.u.): 2.610
V (A^3/atom): 17.7
Fermi-level density of states (states/eV/atom): 1.168

=====

b.
A plane-wave DFT calculation with PBE was carried out for crystalline TbMnRu at its relaxed geometry.

```
6
Lattice="4.640 0.000 2.605 1.648 4.369 2.501 0.078 0.078 5.296" Properties=species:S:1:pos:R:3 pbc="T T T"
Tb 1.667 2.767 5.184
Tb 4.699 1.680 5.218
Mn 0.000 0.000 0.000
Mn 2.320 0.000 1.303
Ru 3.144 2.184 2.553
Ru 2.359 0.039 3.950
```

Space group: Imma (74)
ρ (g cm⁻³): 9.9
Magnetic moment (μB/f.u.): 2.636
V (A^3/atom): 17.6
Fermi-level density of states (states/eV/atom): 0.898

=====

Stability ranking, top entry: b; the second entry is 7.0 kJ/mol of atoms less favorable.

=====

a.
A plane-wave DFT calculation with PBE was carried out for crystalline MnTcRu4 at its relaxed geometry.

```
6
Lattice="0.000 3.561 3.561 3.561 0.000 3.561 3.561 3.561 0.000" Properties=species:S:1:pos:R:3 pbc="T T T"
Mn 0.000 0.000 0.000
Ru 2.669 4.452 4.452
Ru 4.452 4.452 2.669
Ru 4.452 2.669 4.452
Ru 2.669 2.669 2.669
Tc 5.341 5.341 5.341
```

Space group: F-43m (216)
ρ (g cm⁻³): 10.2
Magnetic moment (μB/f.u.): 3.612
V (A^3/atom): 15.0
Fermi-level density of states (states/eV/atom): 1.349

=====

b.
A plane-wave DFT calculation with PBE was carried out for crystalline MnTcRu4 at its relaxed geometry.

```
12
Lattice="-0.759 2.938 -3.560 3.040 -4.168 -4.073 -5.445 -2.023 1.527" Properties=species:S:1:pos:R:3 pbc="T T T"
Ru 1.889 -3.496 -3.796
Ru -0.371 0.199 -2.313
Ru -5.052 0.242 -2.309
Ru -0.401 -2.247 -3.296
Ru -2.762 -1.006 -2.810
Ru -2.793 -3.452 -3.793
Ru 0.345 -2.646 -5.843
Ru -3.508 -0.607 -0.263
Mn 0.379 -0.196 -4.830
Mn -3.542 -3.058 -1.276
Tc -1.193 -1.851 -0.764
Tc -1.970 -1.402 -5.342
```

Space group: P-1 (2)
ρ (g cm⁻³): 11.2
Magnetic moment (μB/f.u.): 1.765
V (A^3/atom): 13.8
Fermi-level density of states (states/eV/atom): 1.145

=====

Stability ranking, top entry: b; the second entry is 37.7 kJ/mol of atoms less favorable.

=====

a.
A plane-wave DFT calculation with PBE was carried out for crystalline MnTcRu3 at its relaxed geometry.

```
10
Lattice="1.081 -5.831 -1.699 -2.535 -7.237 3.847 -4.317 2.695 0.344" Properties=species:S:1:pos:R:3 pbc="T T T"
Ru -1.316 -8.123 1.900
Ru -1.554 -3.399 1.061
Ru -3.007 -5.739 1.600
Ru -3.373 -1.491 1.163
Ru -2.769 -10.463 2.438
Ru -5.267 -9.676 2.680
Mn -3.779 -8.499 1.072
Mn -2.512 -4.880 -0.851
Tc -4.347 -3.777 0.580
Tc -4.293 -7.390 3.263
```

Space group: P-1 (2)
ρ (g cm⁻³): 10.6
Magnetic moment (μB/f.u.): 1.829
V (A^3/atom): 14.3
Fermi-level density of states (states/eV/atom): 1.053

=====

b.
A plane-wave DFT calculation with PBE was carried out for crystalline MnTcRu3 at its relaxed geometry.

```
5
Lattice="4.358 0.000 0.000 0.000 4.358 0.000 0.000 0.000 4.358" Properties=species:S:1:pos:R:3 pbc="T T T"
Mn 0.000 0.000 0.000
Ru 0.000 2.179 0.000
Ru 0.000 0.000 2.179
Ru 2.179 0.000 0.000
Tc 2.179 2.179 2.179
```

Space group: Pm-3m (221)
ρ (g cm⁻³): 9.1
Magnetic moment (μB/f.u.): 3.529
V (A^3/atom): 16.6
Fermi-level density of states (states/eV/atom): 1.806

=====

Stability ranking, top entry: a; the second entry is 118.9 kJ/mol of atoms less favorable.

=====

a.
A plane-wave DFT calculation with PBE was carried out for crystalline Ti2MnRu at its relaxed geometry.

```
4
Lattice="0.000 3.037 3.037 3.037 0.000 3.037 3.037 3.037 0.000" Properties=species:S:1:pos:R:3 pbc="T T T"
Ru 3.037 3.037 3.037
Mn 0.000 0.000 0.000
Ti 1.518 1.518 1.518
Ti 4.555 4.555 4.555
```

Space group: Fm-3m (225)
ρ (g cm⁻³): 7.5
Magnetic moment (μB/f.u.): 0.523
V (A^3/atom): 14.0
Fermi-level density of states (states/eV/atom): 0.701

=====

b.
A plane-wave DFT calculation with PBE was carried out for crystalline Ti2MnRu at its relaxed geometry.

```
8
Lattice="-0.353 4.496 5.020 4.868 -3.305 3.303 4.142 2.130 2.920" Properties=species:S:1:pos:R:3 pbc="T T T"
Mn 5.634 -0.290 5.192
Mn 2.258 0.595 4.161
Ru 0.000 0.000 0.000
Ru 3.023 3.611 6.050
Ti 1.421 2.961 4.315
Ti 7.092 2.616 9.495
Ti 4.766 2.067 5.288
Ti 4.037 -1.003 3.387
```

Space group: I-42d (122)
ρ (g cm⁻³): 6.7
Magnetic moment (μB/f.u.): 1.700
V (A^3/atom): 15.5
Fermi-level density of states (states/eV/atom): 0.849

=====

Stability ranking, top entry: a; the second entry is 61.5 kJ/mol of atoms less favorable.

=====

a.
A plane-wave DFT calculation with PBE was carried out for crystalline Ti2MnRu at its relaxed geometry.

```
4
Lattice="3.036 0.000 0.000 0.000 4.294 0.000 0.000 0.000 4.294" Properties=species:S:1:pos:R:3 pbc="T T T"
Ru 1.518 0.000 0.000
Mn 1.518 2.147 2.147
Ti 0.000 0.000 2.147
Ti 0.000 2.147 0.000
```

Space group: P4/mmm (123)
ρ (g cm⁻³): 7.5
Magnetic moment (μB/f.u.): 0.443
V (A^3/atom): 14.0
Fermi-level density of states (states/eV/atom): 0.592

=====

b.
A plane-wave DFT calculation with PBE was carried out for crystalline Ti2MnRu at its relaxed geometry.

```
4
Lattice="3.032 0.000 0.000 0.000 3.032 0.000 0.000 0.000 6.082" Properties=species:S:1:pos:R:3 pbc="T T T"
Mn 1.516 1.516 0.000
Ti 0.000 0.000 1.475
Ti 0.000 0.000 4.607
Ru 1.516 1.516 3.041
```

Space group: P4/mmm (123)
ρ (g cm⁻³): 7.5
Magnetic moment (μB/f.u.): 0.521
V (A^3/atom): 14.0
Fermi-level density of states (states/eV/atom): 0.626

=====

Stability ranking, top entry: b; the second entry is 1.4 kJ/mol of atoms less favorable.

=====

a.
A plane-wave DFT calculation with PBE was carried out for crystalline TiMnRu3 at its relaxed geometry.

```
5
Lattice="-2.607 -2.925 2.087 2.396 0.506 3.702 -2.677 3.301 1.282" Properties=species:S:1:pos:R:3 pbc="T T T"
Mn -1.444 0.441 3.536
Ti 0.000 0.000 0.000
Ru 1.198 0.253 1.851
Ru -1.339 1.650 0.641
Ru -1.304 -1.462 1.043
```

Space group: Pm-3m (221)
ρ (g cm⁻³): 7.7
Magnetic moment (μB/f.u.): 0.092
V (A^3/atom): 17.5
Fermi-level density of states (states/eV/atom): 1.675

=====

b.
A plane-wave DFT calculation with PBE was carried out for crystalline TiMnRu3 at its relaxed geometry.

```
5
Lattice="4.375 0.000 0.000 0.000 4.375 0.000 0.000 0.000 4.375" Properties=species:S:1:pos:R:3 pbc="T T T"
Ru 2.187 0.000 0.000
Ru 0.000 0.000 2.187
Ru 0.000 2.187 0.000
Ti 2.187 2.187 2.187
Mn 0.000 0.000 0.000
```

Space group: Pm-3m (221)
ρ (g cm⁻³): 8.1
Magnetic moment (μB/f.u.): 0.000
V (A^3/atom): 16.7
Fermi-level density of states (states/eV/atom): 1.530

=====

Stability ranking, top entry: b; the second entry is 59.2 kJ/mol of atoms less favorable.

=====

a.
A plane-wave DFT calculation with PBE was carried out for crystalline MnTlRu2 at its relaxed geometry.

```
4
Lattice="-1.738 2.314 -0.084 -2.093 -1.615 -1.179 -2.719 -1.779 7.265" Properties=species:S:1:pos:R:3 pbc="T T T"
Tl -1.331 -0.870 3.555
Ru -2.501 -0.033 0.931
Ru -0.033 -0.021 0.087
Mn -4.046 -1.044 5.060
```

Space group: P4mm (99)
ρ (g cm⁻³): 11.5
Magnetic moment (μB/f.u.): 4.323
V (A^3/atom): 16.7
Fermi-level density of states (states/eV/atom): 0.728

=====

b.
A plane-wave DFT calculation with PBE was carried out for crystalline MnTlRu2 at its relaxed geometry.

```
4
Lattice="-0.348 0.460 -4.816 1.983 -1.272 -4.240 -2.616 -3.870 -1.052" Properties=species:S:1:pos:R:3 pbc="T T T"
Ru 1.600 -0.851 -9.035
Ru -0.114 -1.005 -2.562
Mn -0.822 -3.613 -7.541
Tl -0.502 -2.365 -5.079
```

Space group: Cm (8)
ρ (g cm⁻³): 11.9
Magnetic moment (μB/f.u.): 3.311
V (A^3/atom): 16.1
Fermi-level density of states (states/eV/atom): 0.801

=====

c.
A plane-wave DFT calculation with PBE was carried out for crystalline MnTlRu2 at its relaxed geometry.

```
4
Lattice="-2.971 -0.009 3.966 0.841 -3.891 2.950 2.939 3.422 -2.050" Properties=species:S:1:pos:R:3 pbc="T T T"
Ru 1.357 -1.210 2.179
Ru 0.000 0.000 0.000
Tl -1.065 -1.950 3.458
Mn -0.548 0.732 2.686
```

Space group: I-4m2 (119)
ρ (g cm⁻³): 12.2
Magnetic moment (μB/f.u.): 2.423
V (A^3/atom): 15.7
Fermi-level density of states (states/eV/atom): 1.362

=====

d.
A plane-wave DFT calculation with PBE was carried out for crystalline MnTlRu2 at its relaxed geometry.

```
4
Lattice="2.908 0.000 0.000 0.000 3.853 0.000 0.000 0.000 5.726" Properties=species:S:1:pos:R:3 pbc="T T T"
Ru 1.454 1.926 1.222
Ru 0.000 0.000 0.020
Mn 1.454 1.926 4.478
Tl 0.000 0.000 2.869
```

Space group: Pmm2 (25)
ρ (g cm⁻³): 11.9
Magnetic moment (μB/f.u.): 3.234
V (A^3/atom): 16.0
Fermi-level density of states (states/eV/atom): 0.877

=====

Stability ranking, top entry: a; the second entry is 1.6 kJ/mol of atoms less favorable.

=====

a.
A plane-wave DFT calculation with PBE was carried out for crystalline UMnRu at its relaxed geometry.

```
3
Lattice="-1.872 -0.213 2.121 1.195 -4.164 0.636 2.058 3.219 2.139" Properties=species:S:1:pos:R:3 pbc="T T T"
Ru -0.116 -0.013 0.132
Mn 0.701 0.636 2.849
U 0.796 -1.781 1.915
```

Space group: P3m1 (156)
ρ (g cm⁻³): 13.9
Magnetic moment (μB/f.u.): 1.025
V (A^3/atom): 15.7
Fermi-level density of states (states/eV/atom): 1.263

=====

b.
A plane-wave DFT calculation with PBE was carried out for crystalline UMnRu at its relaxed geometry.

```
3
Lattice="-2.552 2.302 1.185 0.408 -1.286 3.376 3.758 2.122 -1.603" Properties=species:S:1:pos:R:3 pbc="T T T"
U -0.387 1.179 2.453
Ru 1.654 1.619 0.417
Mn 1.155 2.688 2.842
```

Space group: I4mm (107)
ρ (g cm⁻³): 13.0
Magnetic moment (μB/f.u.): 0.492
V (A^3/atom): 16.8
Fermi-level density of states (states/eV/atom): 1.103

=====

Stability ranking, top entry: b; the second entry is 6.9 kJ/mol of atoms less favorable.

=====

a.
A plane-wave DFT calculation with PBE was carried out for crystalline MnV2Ru2 at its relaxed geometry.

```
10
Lattice="-4.302 3.826 -4.149 -3.553 -5.889 -1.747 -1.781 0.413 2.228" Properties=species:S:1:pos:R:3 pbc="T T T"
V -3.914 -3.066 -0.696
V -2.922 0.576 -0.579
V -6.713 -2.226 -3.089
V -5.721 1.416 -2.972
Mn -3.927 -1.032 -2.948
Mn 0.000 0.000 0.000
Ru -3.265 1.620 -2.911
Ru -4.589 -3.684 -2.985
Ru -1.883 -1.567 -1.214
Ru -5.972 -0.497 -4.682
```

Space group: P4/mbm (127)
ρ (g cm⁻³): 8.2
Magnetic moment (μB/f.u.): 3.402
V (A^3/atom): 14.5
Fermi-level density of states (states/eV/atom): 1.246

=====

b.
A plane-wave DFT calculation with PBE was carried out for crystalline MnV2Ru2 at its relaxed geometry.

```
5
Lattice="2.913 0.000 0.000 0.000 2.844 0.539 0.000 -0.067 8.129" Properties=species:S:1:pos:R:3 pbc="T T T"
Mn 0.000 0.000 0.000
V 1.456 1.623 6.982
V 1.456 1.154 1.685
Ru 0.000 0.473 5.278
Ru 0.000 2.304 3.389
```

Space group: Cmmm (65)
ρ (g cm⁻³): 8.8
Magnetic moment (μB/f.u.): 0.000
V (A^3/atom): 13.5
Fermi-level density of states (states/eV/atom): 0.645

=====

Stability ranking, top entry: b; the second entry is 12.9 kJ/mol of atoms less favorable.

=====

a.
A plane-wave DFT calculation with PBE was carried out for crystalline MnV4Ru at its relaxed geometry.

```
6
Lattice="-1.659 3.265 -2.009 -3.634 -0.677 1.900 2.078 1.063 4.353" Properties=species:S:1:pos:R:3 pbc="T T T"
Mn 0.000 0.000 0.000
V -4.048 1.852 2.010
V 0.833 1.799 2.235
V -1.406 0.549 2.053
V -1.809 3.101 2.191
Ru -2.647 1.294 -0.055
```

Space group: Cmmm (65)
ρ (g cm⁻³): 7.7
Magnetic moment (μB/f.u.): 0.000
V (A^3/atom): 13.0
Fermi-level density of states (states/eV/atom): 0.481

=====

b.
A plane-wave DFT calculation with PBE was carried out for crystalline MnV4Ru at its relaxed geometry.

```
6
Lattice="-3.028 -1.120 1.949 -0.104 -3.591 -2.224 3.393 -3.191 3.439" Properties=species:S:1:pos:R:3 pbc="T T T"
V 2.412 -4.151 1.372
V 0.857 -2.602 -0.153
V 0.973 -2.996 3.450
V -0.733 -4.877 -0.282
Ru 1.817 -5.532 3.303
Mn 1.583 -5.172 -0.502
```

Space group: P2/m (10)
ρ (g cm⁻³): 6.5
Magnetic moment (μB/f.u.): 0.000
V (A^3/atom): 15.2
Fermi-level density of states (states/eV/atom): 1.154

=====

Stability ranking, top entry: a; the second entry is 60.0 kJ/mol of atoms less favorable.